1.
Density functional theory data (PBE) for a relaxed structure of K4PdI2.

The space group is I4/mmm (No. 139) and the conventional cell measures 6.057, 6.057 and 18.419 Å, with angles of 90.00, 90.00 and 90.00 degrees. Symmetry generates all atoms from K at (0.000, 0.000, 0.170), K at (0.000, 0.500, 0.000), Pd at (0.000, 0.000, 0.000) and I at (0.000, 0.000, 0.357).

The total DFT energy (no corrections) comes out at -2.548 eV/atom. Its total magnetization is 0.0 μB/f.u. As for the crystal system: tetragonal.


2.
Density functional theory data (PBE) for a relaxed structure of La4MgU3N8.

The space group is R-3m (No. 166, hexagonal axes) and the conventional cell measures 6.9892, 6.9892 and 17.7976 Å, with angles of 90.00, 90.00 and 120.00 degrees. Symmetry generates all atoms from La at (0.0000, 0.0000, 0.0000), La at (0.0000, 0.5000, 0.0000), Mg at (0.0000, 0.0000, 0.5000), U at (0.0000, 0.5000, 0.5000), N at (0.0000, 0.0000, 0.2327) and N at (0.0152, 0.5076, 0.7672).

The total DFT energy (no corrections) comes out at -8.902 eV/atom. Its total magnetization is 1.4 μB/f.u. As for the crystal system: trigonal.


3.
Density functional theory data (PBE) for a relaxed structure of LaZrIn3.

The space group is Pm-3m (No. 221) and the conventional cell measures 5.458, 5.458 and 5.458 Å, with angles of 90.00, 90.00 and 90.00 degrees. Symmetry generates all atoms from La at (0.000, 0.000, 0.000), Zr at (0.500, 0.500, 0.500) and In at (0.000, 0.500, 0.500).

Its total magnetization is 0.0 μB/f.u. As for the crystal system: cubic. As for the formation energy: 0.07 eV/atom.